# Tl8SeCl6

Crystalline Tl8SeCl6 at its relaxed geometry (PBE, Alexandria via LeMat-Bulk).

The calculation puts the energy relative to the elements, uncorrected at -823.9 meV/atom. For the density of states at the Fermi level, the calculation gives 0.00 states/eV per atom.

The structure belongs to space group R-3 (No. 148, hexagonal axes); the cell edges are 9.7732, 9.7732 and 18.8905 Å and the angles 90.00°, 90.00° and 120.00°. The inequivalent atoms are Tl at (0.0000, 0.0000, 0.1815), Tl at (0.0107, 0.2707, 0.4132), Se at (0.0000, 0.0000, 0.5000) and Cl at (0.0115, 0.2684, 0.9022).